BaLaP2O, optimized geometry, DFT GGA-PBE; M_tot = 0.24 Bohr magnetons per cell; crystal system = tetragonal; formation energy without anion corrections = -0.163 eV/atom; density of states at the Fermi level = 3.24 states/eV per cell; excess energy over the best structure of this formula in the dataset = 762 meV/atom
1.0
5.448 0.000 0.000
0.000 5.448 0.000
0.000 0.000 4.532
Ba La P O
1 1 2 1
Direct
0.000 0.000 0.000
0.500 0.500 0.500
0.000 0.500 0.000
0.500 0.000 0.000
0.000 0.000 0.500

---

Mn6Co5Tc, optimized geometry, DFT GGA-PBE; formation enthalpy at 0 K = 0 kJ per mole of atoms; M_tot = 22.13 Bohr magnetons per cell; crystal system = orthorhombic; density of states at the Fermi level = 8.58 states/eV per cell
1.0
-2.035 2.889 6.102
2.035 -2.889 6.102
2.035 2.889 -6.102
Mn Co Tc
6 5 1
Direct
0.077 0.331 0.746
0.242 0.000 0.242
0.415 0.669 0.746
0.585 0.331 0.254
0.758 0.000 0.758
0.923 0.669 0.254
0.000 0.500 0.500
0.167 0.167 0.000
0.334 0.834 0.500
0.666 0.166 0.500
0.833 0.833 0.000
0.500 0.500 0.000